VASP calculation (PBE with a Hubbard U) on crystalline HfMoC2F at its relaxed geometry.

Lattice parameters (Å, degrees): 4.311 4.311 4.019 90.00 90.00 90.00
Positions (direct):
Hf1 0.000 0.000 0.000
Mo1 0.500 0.500 0.500
C1 0.000 0.500 0.000
C2 0.500 0.000 0.000
F1 0.000 0.000 0.500

Calculated total energy ... -34.870 eV/cell
Spin magnetization ... 3.28 μB per cell
Space-group type ... P4/mmm, No. 123
D(E_F) ... 2.2 states/eV per cell